Compound: LaGe2N
Source: Alexandria
Functional: PBE-GGA
Structure: optimized geometry

The uncorrected formation energy is 0.064 eV per atom. Its total energy is -5.558 eV per atom. As for the space-group type: I-42d.

Cell: 5.937 5.937 5.937 Å, 109.80 109.80 108.81°
Positions (direct):
La  0.000  0.000  0.000
La  0.750  0.250  0.500
Ge  0.242  0.625  0.117
Ge  0.375  0.492  0.617
Ge  0.508  0.125  0.883
Ge  0.875  0.758  0.383
N  0.250  0.750  0.500
N  0.500  0.500  0.000